# 1
The following is a PBE-GGA calculation of Th3Si6Pd20 after structural relaxation, from Alexandria.

```
Th3Si6Pd20
1.0
-3.7013 -5.9293 5.3189
4.7521 -6.7192 3.0688
2.2333 -0.2838 8.4900
Pd Si Th
20 6 3
direct
0.0000 0.3466 0.6534
0.6534 0.0000 0.0000
0.0000 0.0000 0.6534
0.3841 0.3841 0.3841
0.0000 0.6534 0.0000
0.6159 0.1524 0.6159
0.6534 0.3466 0.0000
0.6159 0.6159 0.1524
0.3466 0.6534 0.0000
0.0000 0.6534 0.3466
0.0000 0.0000 0.3466
0.1524 0.6159 0.6159
0.3466 0.0000 0.0000
0.8476 0.3841 0.3841
0.3841 0.8476 0.3841
0.3466 0.0000 0.6534
0.0000 0.3466 0.0000
0.6534 0.0000 0.3466
0.6159 0.6159 0.6159
0.3841 0.3841 0.8476
0.2679 0.7321 0.2679
0.2679 0.2679 0.7321
0.2679 0.7321 0.7321
0.7321 0.2679 0.7321
0.7321 0.2679 0.2679
0.7321 0.7321 0.2679
0.7500 0.7500 0.7500
0.0000 0.0000 0.0000
0.2500 0.2500 0.2500
```

Computed properties:
DOS(E_F) (states/eV/cell): 9.6
E_tot (eV/cell): -182.38

# 2
The following is a PBE-GGA calculation of ThSi3Pd5 after structural relaxation, from Alexandria.

```
ThSi3Pd5
1.0
3.9038 0.0000 0.0000
-1.9519 6.2841 0.0000
0.0000 0.0000 12.6232
Pd Th Si
10 2 6
direct
0.0000 0.0000 0.0000
0.5518 0.1036 0.8541
0.0000 0.0000 0.5000
0.4482 0.8964 0.1459
0.7928 0.5856 0.4234
0.2072 0.4144 0.9234
0.5518 0.1036 0.6459
0.4482 0.8964 0.3541
0.2072 0.4144 0.5766
0.7928 0.5856 0.0766
0.8506 0.7011 0.7500
0.1494 0.2989 0.2500
0.6136 0.2273 0.0412
0.8789 0.7578 0.2500
0.3864 0.7727 0.5412
0.3864 0.7727 0.9588
0.6136 0.2273 0.4588
0.1211 0.2422 0.7500
```

Computed properties:
DOS(E_F) (states/eV/cell): 9.7
E_tot (eV/cell): -112.20

# 3
The following is a PBE-GGA calculation of ThSi3Pd10 after structural relaxation, from Alexandria.

```
ThSi3Pd10
1.0
7.5375 0.0000 4.3518
2.5125 7.1064 4.3518
0.0000 0.0000 8.7036
Pd Th Si
20 2 6
direct
0.0000 0.0000 0.6543
0.6157 0.1529 0.6157
0.3457 0.0000 0.0000
0.3843 0.3843 0.3843
0.6157 0.6157 0.6157
0.3843 0.3843 0.8471
0.6543 0.0000 0.0000
0.0000 0.3457 0.0000
0.6543 0.3457 0.0000
0.3457 0.0000 0.6543
0.1529 0.6157 0.6157
0.0000 0.0000 0.3457
0.0000 0.6543 0.0000
0.0000 0.6543 0.3457
0.6543 0.0000 0.3457
0.3457 0.6543 0.0000
0.8471 0.3843 0.3843
0.6157 0.6157 0.1529
0.0000 0.3457 0.6543
0.3843 0.8471 0.3843
0.7500 0.7500 0.7500
0.2500 0.2500 0.2500
0.2627 0.2627 0.7373
0.2627 0.7373 0.7373
0.7373 0.2627 0.2627
0.7373 0.7373 0.2627
0.7373 0.2627 0.7373
0.2627 0.7373 0.2627
```

Computed properties:
DOS(E_F) (states/eV/cell): 12.6
E_tot (eV/cell): -171.24

# 4
The following is a PBE-GGA calculation of ThSi4Pd4 after structural relaxation, from Alexandria.

```
ThSi4Pd4
1.0
-5.7236 1.9270 0.3811
-1.8145 -4.7366 -3.2999
-1.0286 -4.4226 6.9136
Pd Th Si
8 2 8
direct
0.7310 0.0000 0.6159
0.0000 0.2690 0.3841
0.2310 0.5000 0.8841
0.5000 0.2310 0.1159
0.5000 0.7690 0.1159
0.2690 0.0000 0.6159
0.7690 0.5000 0.8841
0.0000 0.7310 0.3841
0.0000 0.0000 0.0000
0.5000 0.5000 0.5000
0.0000 0.7032 0.6803
0.2968 0.0000 0.3197
0.0000 0.2968 0.6803
0.7968 0.5000 0.1803
0.7032 0.0000 0.3197
0.5000 0.2032 0.8197
0.5000 0.7968 0.8197
0.2032 0.5000 0.1803
```

Computed properties:
DOS(E_F) (states/eV/cell): 6.5
E_tot (eV/cell): -111.07

| no. | formation energy without anion corrections (eV per atom) |
| --- | --- |
| 1 | -0.818 |
| 2 | -0.716 |
| 3 | -0.715 |
| 4 | -0.628 |